Entry 1:
Compound: ScSi2Pd3
Source: the Alexandria database
Functional: GGA-PBE
Structure: relaxed

Cell: 3.880 8.368 9.711 Å, 108.05 90.00 103.41°
Element x y z (fractional)
1 Sc 0.151 0.301 0.688
2 Sc 0.849 0.699 0.312
3 Sc 0.000 0.000 0.000
4 Si 0.198 0.395 0.131
5 Si 0.802 0.605 0.869
6 Si 0.457 0.914 0.216
7 Si 0.543 0.086 0.784
8 Si 0.363 0.726 0.547
9 Si 0.637 0.274 0.453
10 Pd 0.037 0.074 0.324
11 Pd 0.963 0.926 0.676
12 Pd 0.220 0.440 0.389
13 Pd 0.780 0.560 0.611
14 Pd 0.615 0.229 0.189
15 Pd 0.385 0.771 0.811
16 Pd 0.500 0.000 0.500
17 Pd 0.319 0.638 0.039
18 Pd 0.681 0.362 0.961

**Raw formation energy**: -4.79 eV/f.u.
**SG**: C2/m

=====

Entry 2:
Compound: LaSnBi2
Source: the Alexandria database
Functional: GGA-PBE
Structure: relaxed

Cell: 4.827 5.023 5.023 Å, 90.00 90.00 90.00°
Element x y z (fractional)
1 Bi 0.000 0.000 0.500
2 Bi 0.000 0.500 0.000
3 Sn 0.500 0.000 0.000
4 La 0.500 0.500 0.500

**SG**: P4/mmm
**ΔH_f (0 K)**: -0.55 eV/atom

=====

Entry 3:
Compound: ThPPd
Source: the Alexandria database
Functional: GGA-PBE
Structure: relaxed

Cell: 3.911 3.911 5.109 Å, 112.50 112.50 90.00°
Element x y z (fractional)
1 P 0.259 0.259 0.519
2 Th 0.627 0.627 0.253
3 Pd 0.964 0.964 0.928

**SG**: I4mm
**ΔH_f (0 K)**: -0.77 eV/atom

=====

Entry 4:
Compound: RbCu2F4
Source: the Alexandria database
Functional: GGA-PBE
Structure: relaxed

Cell: 6.529 6.529 7.023 Å, 117.70 117.70 90.00°
Element x y z (fractional)
1 Rb 0.750 0.250 0.500
2 Rb 0.500 0.500 0.000
3 Cu 0.125 0.875 0.750
4 Cu 0.625 0.875 0.750
5 Cu 0.125 0.875 0.250
6 Cu 0.125 0.375 0.250
7 F 0.956 0.848 0.416
8 F 0.152 0.539 0.584
9 F 0.432 0.044 0.584
10 F 0.789 0.182 0.084
11 F 0.818 0.706 0.916
12 F 0.098 0.211 0.916
13 F 0.461 0.568 0.416
14 F 0.294 0.902 0.084

**Raw formation energy**: -12.57 eV/f.u.
**SG**: I4_1/a

=====

Entry 5:
Compound: TbTm2Hg
Source: the Alexandria database
Functional: GGA-PBE
Structure: relaxed

Cell: 3.608 3.608 10.564 Å, 80.17 80.17 60.00°
Element x y z (fractional)
1 Tb 0.500 0.500 0.500
2 Tm 0.076 0.076 0.773
3 Tm 0.258 0.258 0.227
4 Hg 0.666 0.666 0.001

**SG**: R3m
**ΔH_f (0 K)**: -0.16 eV/atom

=====

Entry 6:
Compound: SrHgSb2
Source: the Alexandria database
Functional: GGA-PBE
Structure: relaxed

Cell: 6.429 6.429 6.429 Å, 140.57 131.65 64.09°
Element x y z (fractional)
1 Sb 0.981 0.981 0.000
2 Sb 0.793 0.293 0.500
3 Hg 0.219 0.719 0.500
4 Sr 0.508 0.508 0.000

**Raw formation energy**: -1.68 eV/f.u.
**SG**: Imm2

=====

no.,magnetization (μB/cell)
1,0.00
2,0.00
3,0.00
4,2.01
5,0.31
6,0.00